{
  "formula": "Zr2ScH4",
  "functional": "GGA-PBE",
  "state": "optimized geometry",
  "lattice_angstrom": [[-1.8256, 1.8256, 5.7920], [1.8256, -1.8256, 5.7920], [1.8256, 1.8256, -5.7920]],
  "species": ["Zr", "Zr", "Sc", "H", "H", "H", "H"],
  "fractional_positions": [[0.1660, 0.1660, 0.0000], [0.8340, 0.8340, 0.0000], [0.5000, 0.5000, 0.0000], [0.0000, 0.5000, 0.5000], [0.3338, 0.3338, 0.0000], [0.5000, 0.0000, 0.5000], [0.6662, 0.6662, 0.0000]],
  "e_tot_ev_per_atom": -5.46
}

***

{
  "formula": "CaRe2Te",
  "functional": "GGA-PBE",
  "state": "optimized geometry",
  "lattice_angstrom": [[1.5842, 0.9147, 9.0584], [-1.5842, 0.9147, 9.0584], [0.0000, -1.8293, 9.0584]],
  "species": ["Ca", "Re", "Re", "Te"],
  "fractional_positions": [[0.0000, 0.0000, 0.0000], [0.2400, 0.2400, 0.2400], [0.7600, 0.7600, 0.7600], [0.5000, 0.5000, 0.5000]],
  "raw_formation_energy_ev_per_atom": 0.987
}

***

{
  "formula": "CsNa2RuBr8",
  "functional": "GGA-PBE",
  "state": "optimized geometry",
  "lattice_angstrom": [[6.1306, 0.0000, 0.0000], [-0.3328, 6.8519, 0.0000], [-0.0691, -0.0106, 9.8710]],
  "species": ["Cs", "Na", "Na", "Ru", "Br", "Br", "Br", "Br", "Br", "Br", "Br", "Br"],
  "fractional_positions": [[0.0000, 0.0000, 0.0000], [0.4987, 0.5005, 0.7240], [0.5013, 0.4995, 0.2760], [0.0000, 0.0000, 0.5000], [0.2275, 0.3171, 0.4989], [0.2348, 0.8638, 0.3206], [0.2383, 0.8675, 0.6812], [0.2519, 0.4983, 0.0001], [0.7481, 0.5017, 0.9999], [0.7617, 0.1325, 0.3188], [0.7652, 0.1362, 0.6794], [0.7725, 0.6829, 0.5011]],
  "raw_formation_energy_ev_per_atom": -0.849
}

***

{
  "formula": "SrTeAsN2",
  "functional": "GGA-PBE",
  "state": "optimized geometry",
  "lattice_angstrom": [[4.7352, 0.0000, 0.0000], [0.0000, 4.7352, 0.0000], [0.0000, 0.0000, 6.9499]],
  "species": ["Sr", "Te", "As", "N", "N"],
  "fractional_positions": [[0.0000, 0.0000, 0.0000], [0.0000, 0.0000, 0.5000], [0.5000, 0.5000, 0.5000], [0.0000, 0.5000, 0.0000], [0.5000, 0.0000, 0.0000]],
  "raw_formation_energy_ev_per_atom": 1.524
}

***

{
  "formula": "KRb5Na",
  "functional": "GGA-PBE",
  "state": "optimized geometry",
  "lattice_angstrom": [[4.1187, -14.1097, 0.0000], [4.1187, 14.1097, 0.0000], [-0.0883, 0.0000, 10.0030]],
  "species": ["K", "K", "Rb", "Rb", "Rb", "Rb", "Rb", "Rb", "Rb", "Rb", "Rb", "Rb", "Na", "Na"],
  "fractional_positions": [[0.1664, 0.8336, 0.7500], [0.8336, 0.1664, 0.2500], [0.1387, 0.8613, 0.2500], [0.2211, 0.2825, 0.1018], [0.2825, 0.2211, 0.6018], [0.3009, 0.6933, 0.4879], [0.3067, 0.6991, 0.0121], [0.6933, 0.3009, 0.9879], [0.6991, 0.3067, 0.5121], [0.7175, 0.7789, 0.3982], [0.7789, 0.7175, 0.8982], [0.8613, 0.1387, 0.7500], [0.4154, 0.5846, 0.7500], [0.5846, 0.4154, 0.2500]],
  "ef_ev_per_fu": 0.3
}

***

{
  "formula": "VCrGa2",
  "functional": "GGA-PBE",
  "state": "optimized geometry",
  "lattice_angstrom": [[2.7174, 0.0000, 0.0000], [0.0000, 2.7174, 0.0000], [0.0000, 0.0000, 7.5444]],
  "species": ["V", "Cr", "Ga", "Ga"],
  "fractional_positions": [[0.0000, 0.0000, 0.0000], [0.0000, 0.0000, 0.5000], [0.5000, 0.5000, 0.2563], [0.5000, 0.5000, 0.7437]],
  "ef_ev_per_fu": -0.1
}

***

| no. | calculated density (g/cm3) |
| --- | --- |
| 1 | 4.977 |
| 2 | 11.388 |
| 3 | 3.681 |
| 4 | 3.390 |
| 5 | 1.398 |
| 6 | 7.225 |